First-principles (PBE with a Hubbard U) data for crystalline TaMnTlO4 at its relaxed geometry, as listed in Alexandria.

Cell lengths 5.7371, 6.1187, 8.5702 Å; angles 90.00, 92.14, 90.00 degrees
Each line ends with the local moment (μB).
Element x y z (fractional)
Ta 0.3080 0.7500 0.2769  0.04
Ta 0.6920 0.2500 0.7231  0.04
Mn 0.8784 0.7500 0.4779  4.62
Mn 0.1216 0.2500 0.5221  4.62
Tl 0.7754 0.7500 0.9880  0.00
Tl 0.2246 0.2500 0.0120  0.00
O 0.8367 0.4843 0.6240  0.04
O 0.1633 0.9843 0.3760  0.04
O 0.1633 0.5157 0.3760  0.04
O 0.8367 0.0157 0.6240  0.04
O 0.2202 0.7500 0.0666  0.01
O 0.7798 0.2500 0.9334  0.01
O 0.6346 0.7500 0.2959  0.02
O 0.3654 0.2500 0.7041  0.02

Properties
Final energy ... -7.941 eV/atom
V ... 301 Å³/cell
Symmetry ... No. 11
Crystal system ... monoclinic